[1]
DFT (PBE) results for an optimized crystal structure of Rb2SnSF6.

DFT total energy = -4.248 eV per atom
Symmetry = I4/mmm, No. 139
Raw formation energy = -2118 meV per atom

Lattice parameters (Å, degrees): 6.937 6.937 6.937 122.88 122.88 85.08
Fractional positions:
1 Rb 0.250 0.750 0.500
2 Rb 0.750 0.250 0.500
3 Sn 0.000 0.000 0.000
4 S 0.500 0.500 0.000
5 F 0.196 0.196 0.000
6 F 0.214 0.214 0.428
7 F 0.214 0.786 0.000
8 F 0.786 0.214 0.000
9 F 0.786 0.786 0.572
10 F 0.804 0.804 0.000


[2]
DFT (PBE) results for an optimized crystal structure of Rb2SrSF6.

DFT total energy = -4.399 eV per atom
Symmetry = I4/mmm, No. 139
Raw formation energy = -2501 meV per atom

Lattice parameters (Å, degrees): 7.278 7.278 7.278 130.69 130.69 72.30
Fractional positions:
1 Rb 0.250 0.750 0.500
2 Rb 0.750 0.250 0.500
3 Sr 0.000 0.000 0.000
4 S 0.500 0.500 0.000
5 F 0.201 0.201 0.000
6 F 0.277 0.277 0.555
7 F 0.277 0.723 0.000
8 F 0.723 0.277 0.000
9 F 0.723 0.723 0.445
10 F 0.799 0.799 0.000


[3]
DFT (PBE) results for an optimized crystal structure of Rb5TaS4F2.

DFT total energy = -4.789 eV per atom
Symmetry = Amm2, No. 38
Raw formation energy = -1711 meV per atom

Lattice parameters (Å, degrees): 8.630 7.281 7.281 118.40 90.00 90.00
Fractional positions:
1 Rb 0.000 0.000 0.000
2 Rb 0.228 0.391 0.797
3 Rb 0.228 0.797 0.391
4 Rb 0.772 0.391 0.797
5 Rb 0.772 0.797 0.391
6 Ta 0.500 0.110 0.110
7 S 0.283 0.287 0.287
8 S 0.500 0.068 0.777
9 S 0.500 0.777 0.068
10 S 0.717 0.287 0.287
11 F 0.000 0.061 0.659
12 F 0.000 0.659 0.061


[4]
DFT (PBE) results for an optimized crystal structure of Rb2TaSF6.

DFT total energy = -5.399 eV per atom
Symmetry = I4/mmm, No. 139
Raw formation energy = -2485 meV per atom

Lattice parameters (Å, degrees): 7.190 7.190 7.190 121.15 121.15 88.01
Fractional positions:
1 Rb 0.250 0.750 0.500
2 Rb 0.750 0.250 0.500
3 Ta 0.000 0.000 0.000
4 S 0.500 0.500 0.000
5 F 0.186 0.186 0.000
6 F 0.193 0.193 0.385
7 F 0.193 0.807 0.000
8 F 0.807 0.193 0.000
9 F 0.807 0.807 0.615
10 F 0.814 0.814 0.000


[5]
DFT (PBE) results for an optimized crystal structure of RbTaS2F.

DFT total energy = -3.904 eV per atom
Symmetry = P4/mmm, No. 123
Raw formation energy = 685 meV per atom

Lattice parameters (Å, degrees): 4.914 4.914 4.518 90.00 90.00 90.00
Fractional positions:
1 Rb 0.000 0.000 0.000
2 Ta 0.500 0.500 0.000
3 S 0.000 0.500 0.500
4 S 0.500 0.000 0.500
5 F 0.000 0.000 0.500


[6]
DFT (PBE) results for an optimized crystal structure of Rb2TcSF5.

DFT total energy = -4.993 eV per atom
Symmetry = I4mm, No. 107
Raw formation energy = -2128 meV per atom

Lattice parameters (Å, degrees): 6.317 6.317 6.317 116.22 116.22 96.68
Fractional positions:
1 Rb 0.000 0.500 0.500
2 Rb 0.500 0.000 0.500
3 Tc 0.271 0.271 0.000
4 S 0.530 0.530 0.000
5 F 0.031 0.031 0.000
6 F 0.044 0.044 0.583
7 F 0.044 0.461 0.000
8 F 0.461 0.044 0.000
9 F 0.461 0.461 0.417


[7]
DFT (PBE) results for an optimized crystal structure of Rb2TcSF6.

DFT total energy = -4.715 eV per atom
Symmetry = I4/mmm, No. 139
Raw formation energy = -1950 meV per atom

Lattice parameters (Å, degrees): 6.877 6.877 6.877 122.88 122.88 85.07
Fractional positions:
1 Rb 0.250 0.750 0.500
2 Rb 0.750 0.250 0.500
3 Tc 0.000 0.000 0.000
4 S 0.500 0.500 0.000
5 F 0.194 0.194 0.000
6 F 0.211 0.211 0.423
7 F 0.211 0.789 0.000
8 F 0.789 0.211 0.000
9 F 0.789 0.789 0.577
10 F 0.806 0.806 0.000


[8]
DFT (PBE) results for an optimized crystal structure of Rb2TeSF6.

DFT total energy = -3.920 eV per atom
Symmetry = I4/mmm, No. 139
Raw formation energy = -1877 meV per atom

Lattice parameters (Å, degrees): 7.089 7.089 7.089 123.14 123.14 84.64
Fractional positions:
1 Rb 0.250 0.750 0.500
2 Rb 0.750 0.250 0.500
3 Te 0.000 0.000 0.000
4 S 0.500 0.500 0.000
5 F 0.199 0.199 0.000
6 F 0.218 0.218 0.436
7 F 0.218 0.782 0.000
8 F 0.782 0.218 0.000
9 F 0.782 0.782 0.564
10 F 0.801 0.801 0.000


[9]
DFT (PBE) results for an optimized crystal structure of RbThS2F.

DFT total energy = -6.067 eV per atom
Symmetry = P2_1/m, No. 11
Raw formation energy = -2364 meV per atom

Lattice parameters (Å, degrees): 8.135 4.200 9.209 90.00 107.27 90.00
Fractional positions:
1 Rb 0.220 0.250 0.308
2 Rb 0.780 0.750 0.692
3 Th 0.313 0.250 0.820
4 Th 0.687 0.750 0.180
5 S 0.326 0.750 0.033
6 S 0.329 0.750 0.632
7 S 0.671 0.250 0.368
8 S 0.674 0.250 0.967
9 F 0.031 0.250 0.764
10 F 0.969 0.750 0.236


[10]
DFT (PBE) results for an optimized crystal structure of Rb2TiSF6.

DFT total energy = -5.104 eV per atom
Symmetry = I4/mmm, No. 139
Raw formation energy = -2585 meV per atom

Lattice parameters (Å, degrees): 6.814 6.814 6.814 123.30 123.30 84.37
Fractional positions:
1 Rb 0.250 0.750 0.500
2 Rb 0.750 0.250 0.500
3 Ti 0.000 0.000 0.000
4 S 0.500 0.500 0.000
5 F 0.187 0.187 0.000
6 F 0.207 0.207 0.413
7 F 0.207 0.793 0.000
8 F 0.793 0.207 0.000
9 F 0.793 0.793 0.587
10 F 0.813 0.813 0.000


[11]
DFT (PBE) results for an optimized crystal structure of Rb2TlSF6.

DFT total energy = -3.885 eV per atom
Symmetry = I4/mmm, No. 139
Raw formation energy = -1920 meV per atom

Lattice parameters (Å, degrees): 6.882 6.882 6.882 125.01 125.01 81.53
Fractional positions:
1 Rb 0.250 0.750 0.500
2 Rb 0.750 0.250 0.500
3 Tl 0.000 0.000 0.000
4 S 0.500 0.500 0.000
5 F 0.245 0.245 0.000
6 F 0.294 0.294 0.588
7 F 0.294 0.706 0.000
8 F 0.706 0.294 0.000
9 F 0.706 0.706 0.412
10 F 0.755 0.755 0.000